(1)
First-principles (PBE-GGA) data for Sr2CdFe after structural relaxation, as listed in the Alexandria database.

Computed properties:
Space group: P2/m, No. 10
E in Ry per atom: -0.21344
V in Å³ per atom: 30.04
Calculated formation energy in eV/atom: 0.28

Lattice parameters (Å, degrees): 3.809 3.804 8.293 90.00 90.14 90.00
Atoms (fractional coordinates):
1 Sr 0.000 0.000 0.232
2 Sr 0.000 0.000 0.768
3 Cd 0.500 0.500 0.500
4 Fe 0.500 0.500 0.000

---

(2)
First-principles (PBE-GGA) data for SrCd2Fe after structural relaxation, as listed in the Alexandria database.

Computed properties:
Space group: Pmm2, No. 25
E in Ry per atom: -0.19867
V in Å³ per atom: 26.46
Calculated formation energy in eV/atom: 0.29

Lattice parameters (Å, degrees): 3.774 4.883 5.742 90.00 90.00 90.00
Atoms (fractional coordinates):
1 Sr 0.000 0.000 0.000
2 Cd 0.500 0.000 0.475
3 Cd 0.500 0.500 0.749
4 Fe 0.500 0.500 0.251

---

(3)
First-principles (PBE-GGA) data for SrCd2Fe after structural relaxation, as listed in the Alexandria database.

Computed properties:
Space group: C2/m, No. 12
E in Ry per atom: -0.18803
V in Å³ per atom: 24.00
Calculated formation energy in eV/atom: 0.44

Lattice parameters (Å, degrees): 5.683 5.683 3.224 90.26 90.26 112.78
Atoms (fractional coordinates):
1 Sr 0.000 0.000 0.000
2 Cd 0.000 0.500 0.500
3 Cd 0.500 0.000 0.500
4 Fe 0.500 0.500 0.000

---

(4)
First-principles (PBE-GGA) data for SrCd2Fe after structural relaxation, as listed in the Alexandria database.

Computed properties:
Space group: Fm-3m, No. 225
E in Ry per atom: -0.18153
V in Å³ per atom: 22.74
Calculated formation energy in eV/atom: 0.52

Lattice parameters (Å, degrees): 5.048 5.048 5.048 60.00 60.00 60.00
Atoms (fractional coordinates):
1 Sr 0.000 0.000 0.000
2 Cd 0.250 0.250 0.250
3 Cd 0.750 0.750 0.750
4 Fe 0.500 0.500 0.500

---

Question: calculated formation energy of number 4 (SrCd2Fe)?
Answer: 0.52 eV/atom

---

Question: Look up the E of the second one.
Answer: -0.19867 Ry per atom

---

What did the fourth record say?
First-principles (PBE-GGA) data for SrCd2Fe after structural relaxation, as listed in the Alexandria database.

Computed properties:
Space group: Fm-3m, No. 225
E in Ry per atom: -0.18153
V in Å³ per atom: 22.74
Calculated formation energy in eV/atom: 0.52

Lattice parameters (Å, degrees): 5.048 5.048 5.048 60.00 60.00 60.00
Atoms (fractional coordinates):
1 Sr 0.000 0.000 0.000
2 Cd 0.250 0.250 0.250
3 Cd 0.750 0.750 0.750
4 Fe 0.500 0.500 0.500

---

Question: Among the records above, which one has the lowest V?
Answer: number 4